TlCdRu2 | GGA-PBE | relaxed

Lattice parameters (Å, degrees): 4.379 2.966 5.810 77.01 90.00 90.00
Atoms (fractional coordinates):
Cd  0.500  0.750  0.750
Ru  0.000  0.141  0.966
Ru  0.000  0.359  0.534
Tl  0.500  0.250  0.250

Summary:
Raw total energy: -4.848 eV/atom
Space group: P2/m



H2IrW2 | GGA-PBE | relaxed

Lattice parameters (Å, degrees): 6.204 6.204 2.766 90.00 90.00 90.00
Atoms (fractional coordinates):
H  0.388  0.888  0.000
H  0.888  0.612  0.000
H  0.612  0.112  0.000
H  0.112  0.388  0.000
Ir  0.000  0.000  0.000
Ir  0.500  0.500  0.000
W  0.146  0.646  0.500
W  0.646  0.854  0.500
W  0.854  0.354  0.500
W  0.354  0.146  0.500

Summary:
Space group: P4/mbm
Excess energy over the best structure of this formula in the dataset: 83 kJ/mol of formula units